1.
! SbPd3 | Alexandria via LeMat-Bulk | PBE | optimized geometry; values from VASP
! **Space-group type**: No. 221
! **Fermi-level density of states**: 2.836 states/eV/cell
! **Spin magnetization**: 0.0 μB/f.u.
&SYSTEM
  ibrav = 0, nat = 4, ntyp = 2
/
ATOMIC_SPECIES
Sb 121.76 Sb.upf
Pd 106.42 Pd.upf
CELL_PARAMETERS angstrom
4.057 0.000 0.000
0.000 4.057 0.000
0.000 0.000 4.057
ATOMIC_POSITIONS angstrom
Sb 0.000 0.000 0.000
Pd 0.000 2.029 2.029
Pd 2.029 0.000 2.029
Pd 2.029 2.029 0.000

---

2.
! SbPd8 | Alexandria via LeMat-Bulk | PBE | optimized geometry; values from VASP
! **Space-group type**: No. 139
! **Fermi-level density of states**: 11.988 states/eV/cell
! **Spin magnetization**: 0.0 μB/f.u.
&SYSTEM
  ibrav = 0, nat = 9, ntyp = 2
/
ATOMIC_SPECIES
Sb 121.76 Sb.upf
Pd 106.42 Pd.upf
CELL_PARAMETERS angstrom
-4.193 4.193 2.030
4.193 -4.193 2.030
4.193 4.193 -2.030
ATOMIC_POSITIONS angstrom
Sb 0.000 0.000 0.000
Pd 2.798 0.000 0.000
Pd 5.588 0.000 0.000
Pd 2.793 2.793 0.000
Pd 1.400 -1.400 2.030
Pd 0.000 2.798 0.000
Pd 0.000 5.588 0.000
Pd -1.400 1.400 2.030
Pd 1.400 1.400 2.030

---

3.
! SbPd | Alexandria via LeMat-Bulk | PBE | optimized geometry; values from VASP
! **Space-group type**: No. 194
! **Fermi-level density of states**: 2.859 states/eV/cell
! **Spin magnetization**: 0.0 μB/f.u.
&SYSTEM
  ibrav = 0, nat = 4, ntyp = 2
/
ATOMIC_SPECIES
Sb 121.76 Sb.upf
Pd 106.42 Pd.upf
CELL_PARAMETERS angstrom
4.145 0.000 0.000
-2.073 3.590 0.000
0.000 0.000 5.669
ATOMIC_POSITIONS angstrom
Sb 0.000 2.393 1.417
Sb 2.073 1.197 4.252
Pd 0.000 0.000 0.000
Pd 0.000 0.000 2.834

---

4.
! SbPd | Alexandria via LeMat-Bulk | PBE | optimized geometry; values from VASP
! **Space-group type**: No. 136
! **Fermi-level density of states**: 3.829 states/eV/cell
! **Spin magnetization**: 0.0 μB/f.u.
&SYSTEM
  ibrav = 0, nat = 8, ntyp = 2
/
ATOMIC_SPECIES
Sb 121.76 Sb.upf
Pd 106.42 Pd.upf
CELL_PARAMETERS angstrom
8.079 0.000 0.000
0.000 8.079 0.000
0.000 0.000 3.252
ATOMIC_POSITIONS angstrom
Sb 1.592 1.592 0.000
Sb 2.448 5.631 1.626
Sb 5.631 2.448 1.626
Sb 6.487 6.487 0.000
Pd 1.004 7.075 0.000
Pd 3.035 3.035 1.626
Pd 5.044 5.044 1.626
Pd 7.075 1.004 0.000

---

Number 1: uncorrected formation energy -1.445 eV/f.u.. Number 2: uncorrected formation energy -1.877 eV/f.u.. Number 3: uncorrected formation energy -0.867 eV/f.u.. Number 4: uncorrected formation energy -0.328 eV/f.u..